Below is GdAgIr after structural relaxation, with properties calculated at the PBE-GGA level.

Properties
DFT total energy = -16.77 eV per cell
E_form = -0.147 eV/atom
ρ = 10.80 g cm⁻³

Cell lengths 4.632, 4.632, 4.632 Å; angles 60.00, 60.00, 60.00 degrees
Fractional coordinates of all 3 atoms:
Ag1 0.750 0.750 0.750
Gd1 0.250 0.250 0.250
Ir1 0.000 0.000 0.000

Below is GdSi2AgIr after structural relaxation, with properties calculated at the PBE-GGA level.

Properties
DFT total energy = -30.28 eV per cell
ρ = 9.69 g cm⁻³

Cell lengths 5.857, 5.857, 5.857 Å; angles 138.29, 138.29, 60.46 degrees
Fractional coordinates of all 5 atoms:
Gd1 0.750 0.250 0.500
Si1 0.134 0.634 0.500
Si2 0.366 0.866 0.500
Ag1 0.000 0.000 0.000
Ir1 0.500 0.500 0.000

Below is Gd2Si4AgIr after structural relaxation, with properties calculated at the PBE-GGA level.

Properties
DFT total energy = -47.98 eV per cell
ρ = 8.03 g cm⁻³

Cell lengths 4.212, 8.778, 8.778 Å; angles 27.58, 90.00, 90.00 degrees
Fractional coordinates of all 8 atoms:
Gd1 0.500 0.100 0.100
Ir1 0.000 0.677 0.677
Si1 0.500 0.472 0.472
Gd2 0.000 0.893 0.893
Si2 0.500 0.743 0.743
Si3 0.000 0.244 0.244
Ag1 0.500 0.331 0.331
Si4 0.000 0.539 0.539

Below is Tb2GdTl3AgIr2 after structural relaxation, with properties calculated at the PBE-GGA level.

Properties
DFT total energy = -45.47 eV per cell
ρ = 12.82 g cm⁻³

Cell lengths 3.827, 7.862, 7.862 Å; angles 120.08, 90.00, 90.00 degrees
Fractional coordinates of all 9 atoms:
Tl1 0.500 0.000 0.729
Tb1 0.000 0.412 0.000
Tl2 0.500 0.270 0.270
Gd1 0.000 0.588 0.588
Ag1 0.000 0.000 0.000
Ir1 0.500 0.667 0.333
Tb2 0.000 0.000 0.412
Ir2 0.500 0.333 0.667
Tl3 0.500 0.729 0.000

Below is GdY2Tl3AgIr2 after structural relaxation, with properties calculated at the PBE-GGA level.

Properties
DFT total energy = -49.13 eV per cell
ρ = 11.71 g cm⁻³

Cell lengths 3.815, 7.861, 7.861 Å; angles 119.99, 90.00, 90.00 degrees
Fractional coordinates of all 9 atoms:
Tl1 0.500 0.999 0.272
Tl2 0.500 0.272 0.999
Tl3 0.500 0.730 0.730
Ir1 0.500 0.333 0.666
Y1 0.000 0.589 0.000
Gd1 0.000 0.412 0.412
Y2 0.000 0.000 0.589
Ag1 0.000 0.000 0.000
Ir2 0.500 0.666 0.333

Below is KGdAgSe3 after structural relaxation, with properties calculated at the PBE-GGA level.

Properties
DFT total energy = -51.52 eV per cell
ρ = 5.29 g cm⁻³

Cell lengths 7.810, 7.810, 10.863 Å; angles 90.00, 90.00, 149.13 degrees
Fractional coordinates of all 12 atoms:
Gd1 0.000 0.000 0.000
Se1 0.370 0.630 0.949
Gd2 0.000 0.000 0.500
Ag1 0.534 0.466 0.250
Ag2 0.466 0.534 0.750
K1 0.751 0.249 0.750
Se2 0.370 0.630 0.551
Se3 0.630 0.370 0.051
Se4 0.076 0.924 0.750
Se5 0.924 0.076 0.250
Se6 0.630 0.370 0.449
K2 0.249 0.751 0.250